ReAsIr2 | PBE | relaxed

Calculated values
The formation energy comes out at 0.407 eV per atom.

Cell and atoms, written as POSCAR:
```
ReAsIr2
1.0
3.9826 0.0000 0.0000
0.0000 3.8766 0.0000
0.0000 0.0000 3.8766
Re Ir As
1 2 1
Direct
0.5000 0.5000 0.0000
0.0000 0.5000 0.5000
0.0000 0.0000 0.0000
0.5000 0.0000 0.5000
```

Tl3HgBi3 | PBE | relaxed

Calculated values
For the energy above the lowest structure with this stoichiometry, the calculation gives 227 meV per atom. The formation energy comes out at 0.245 eV per atom.

Cell and atoms, written as POSCAR:
```
Tl3HgBi3
1.0
-8.0134 -0.6828 3.0408
-0.7497 -7.7204 -3.7094
3.0250 -3.7223 7.1359
Bi Hg Tl
6 2 6
Direct
0.5000 0.7500 0.0000
0.0000 0.5000 0.7500
0.7500 0.0000 0.5000
0.5000 0.2500 0.0000
0.0000 0.5000 0.2500
0.2500 0.0000 0.5000
0.5000 0.5000 0.5000
0.0000 0.0000 0.0000
0.7500 0.5000 0.0000
0.5000 0.0000 0.2500
0.0000 0.2500 0.5000
0.5000 0.0000 0.7500
0.0000 0.7500 0.5000
0.2500 0.5000 0.0000
```

KTcPd | PBE | relaxed

Calculated values
For the energy above the lowest structure with this stoichiometry, the calculation gives 172 meV per atom. The formation energy comes out at 0.416 eV per atom.

Cell and atoms, written as POSCAR:
```
KTcPd
1.0
-1.8009 1.5833 -4.2271
-3.7211 -0.5995 -0.3395
-1.6087 9.9531 2.7749
Pd Tc K
2 2 2
Direct
0.9385 0.1472 0.7061
0.0521 0.6019 0.8869
0.3865 0.4194 0.6541
0.5023 0.8697 0.7705
0.9002 0.6475 0.4281
0.5652 0.3582 0.0666
```

La8Pt3RhBr4 | PBE | relaxed

Calculated values
The value obtained for the formation energy (no corrections) is -1.310 eV per atom.

Cell and atoms, written as POSCAR:
```
La8Pt3RhBr4
1.0
-2.0480 5.4466 6.2421
3.9443 -5.6610 6.2337
4.8308 2.6160 -6.5310
La Br Pt Rh
8 4 3 1
Direct
0.7377 0.6983 0.9683
0.7695 0.3017 0.5390
0.2305 0.6983 0.4610
0.2671 0.3019 0.5343
0.2306 0.6983 0.9683
0.7694 0.3017 0.0317
0.7329 0.6981 0.4657
0.2623 0.3017 0.0317
0.5000 0.0000 0.0000
0.5000 0.0000 0.5000
0.0000 0.0000 0.0000
0.0000 0.0000 0.5000
0.0000 0.5000 0.5000
0.5000 0.5000 0.0000
0.5000 0.5000 0.5000
0.0000 0.5000 0.0000
```

Th2Ni5Rh5 | PBE | relaxed

Calculated values
The formation energy comes out at -0.474 eV per atom.

Cell and atoms, written as POSCAR:
```
Th2Ni5Rh5
1.0
4.0742 0.0000 0.0000
0.0000 5.2752 0.0000
0.0000 0.0000 8.8329
Rh Ni Th
5 5 2
Direct
0.5000 0.7514 0.2439
0.5000 0.5000 0.5000
0.5000 0.2486 0.7561
0.5000 0.7514 0.7561
0.5000 0.2486 0.2439
0.0000 0.0000 0.8443
0.5000 0.0000 0.0000
0.0000 0.5000 0.6671
0.0000 0.5000 0.3329
0.0000 0.0000 0.1557
0.0000 0.5000 0.0000
0.0000 0.0000 0.5000
```

EuGdCdPt | PBE | relaxed

Calculated values
The formation energy comes out at -0.630 eV per atom.

Cell and atoms, written as POSCAR:
```
EuGdCdPt
1.0
5.1966 0.0000 0.0000
2.5983 4.5004 0.0000
2.5983 1.5001 4.2430
Eu Gd Pt Cd
1 1 1 1
Direct
0.7500 0.7500 0.7500
0.2500 0.2500 0.2500
0.0000 0.0000 0.0000
0.5000 0.5000 0.5000
```

TmBiPdRu | PBE | relaxed

Calculated values
The formation energy comes out at -0.341 eV per atom.

Cell and atoms, written as POSCAR:
```
TmBiPdRu
1.0
4.8027 0.0000 0.0000
2.4014 4.1593 0.0000
2.4014 1.3864 3.9214
Bi Tm Ru Pd
1 1 1 1
Direct
0.5000 0.5000 0.5000
0.0000 0.0000 0.0000
0.7500 0.7500 0.7500
0.2500 0.2500 0.2500
```

Sr2ZrRu | PBE | relaxed

Calculated values
For the energy above the lowest structure with this stoichiometry, the calculation gives 579 meV per atom. The formation energy comes out at 0.630 eV per atom.

Cell and atoms, written as POSCAR:
```
Sr2ZrRu
1.0
4.2863 0.0000 0.0000
0.0000 4.2952 0.0000
0.0000 0.0000 5.4995
Ru Sr Zr
1 2 1
Direct
0.0000 0.5000 0.5000
0.5000 0.5000 0.0000
0.0000 0.0000 0.0000
0.5000 0.0000 0.5000
```

CsZn2P | PBE | relaxed

Calculated values
The formation energy comes out at 0.008 eV per atom.

Cell and atoms, written as POSCAR:
```
CsZn2P
1.0
5.4662 0.0000 0.0000
0.0000 5.4662 0.0000
2.7331 2.7331 8.2604
Zn P Cs
4 2 2
Direct
0.3750 0.6249 0.7500
0.8750 0.6251 0.7500
0.3749 0.6250 0.2500
0.3751 0.1250 0.2500
0.5000 0.5000 0.0000
0.2500 0.7500 0.5000
0.0000 0.0000 0.0000
0.7500 0.2500 0.5000
```

PrCuTc | PBE | relaxed

Calculated values
The formation energy comes out at 0.202 eV per atom.

Cell and atoms, written as POSCAR:
```
PrCuTc
1.0
3.8979 0.0000 0.0000
0.0000 3.2090 0.0000
0.0000 1.6045 9.9860
Pr Cu Tc
2 2 2
Direct
0.7500 0.8844 0.2312
0.2500 0.1156 0.7688
0.7500 0.5334 0.9332
0.2500 0.4666 0.0668
0.2500 0.2628 0.4745
0.7500 0.7372 0.5255
```